Entry 1:
## MgHgBi (PBE)

Data for a geometry-optimized MgHgBi structure.

a = 3.410 Å, b = 3.410 Å, c = 13.477 Å
α = 90.00°, β = 90.00°, γ = 90.00°
Space group I4mm (No. 107)
Inequivalent atoms, fractional coordinates:
Mg (0.000, 0.000, 0.000) (multiplicity 2)
Hg (0.000, 0.000, 0.362) (multiplicity 2)
Bi (0.000, 0.000, 0.665) (multiplicity 2)

## Properties
ΔH_f (0 K)   -85 meV/atom
Energy above the most stable polymorph in this dataset   9 meV per atom

=====

Entry 2:
## Mg2Hg2Bi (PBE)

Data for a geometry-optimized Mg2Hg2Bi structure.

a = 3.468 Å, b = 5.156 Å, c = 7.501 Å
α = 90.61°, β = 102.76°, γ = 108.46°
Space group P-1 (No. 2)
Inequivalent atoms, fractional coordinates:
Mg (0.079, 0.392, 0.260) (multiplicity 2)
Hg (0.306, 0.207, 0.904) (multiplicity 2)
Bi (0.500, 0.000, 0.500) (multiplicity 1)

## Properties
ΔH_f (0 K)   -111 meV/atom
Energy above the most stable polymorph in this dataset   13 meV per atom

=====

Entry 3:
## Mg2Hg2Bi (PBE)

Data for a geometry-optimized Mg2Hg2Bi structure.

a = 4.416 Å, b = 4.416 Å, c = 12.839 Å
α = 90.00°, β = 90.00°, γ = 90.00°
Space group I4/mmm (No. 139)
Inequivalent atoms, fractional coordinates:
Mg (0.000, 0.500, 0.250) (multiplicity 4)
Hg (0.000, 0.000, 0.111) (multiplicity 4)
Bi (0.000, 0.000, 0.500) (multiplicity 2)

## Properties
ΔH_f (0 K)   -38 meV/atom
Energy above the most stable polymorph in this dataset   86 meV per atom

=====

Entry 4:
## Mg4HgBi2 (PBE)

Data for a geometry-optimized Mg4HgBi2 structure.

a = 21.988 Å, b = 4.701 Å, c = 7.130 Å
α = 90.00°, β = 90.00°, γ = 90.00°
Space group Pnma (No. 62)
Inequivalent atoms, fractional coordinates:
Mg (0.049, 0.250, 0.170) (multiplicity 4)
Mg (0.073, 0.750, 0.512) (multiplicity 4)
Mg (0.175, 0.250, 0.899) (multiplicity 4)
Mg (0.178, 0.250, 0.374) (multiplicity 4)
Hg (0.135, 0.750, 0.134) (multiplicity 4)
Bi (0.038, 0.250, 0.749) (multiplicity 4)
Bi (0.207, 0.750, 0.634) (multiplicity 4)

## Properties
ΔH_f (0 K)   -180 meV/atom

=====

Entry 5:
## Mg4HgBi (PBE)

Data for a geometry-optimized Mg4HgBi structure.

a = 4.733 Å, b = 4.733 Å, c = 7.114 Å
α = 90.00°, β = 90.00°, γ = 90.00°
Space group P4/mmm (No. 123)
Inequivalent atoms, fractional coordinates:
Mg (0.000, 0.500, 0.225) (multiplicity 4)
Hg (0.000, 0.000, 0.000) (multiplicity 1)
Bi (0.500, 0.500, 0.500) (multiplicity 1)

## Properties
ΔH_f (0 K)   -178 meV/atom
Energy above the most stable polymorph in this dataset   0 meV per atom

=====

Entry 6:
## Mg4Hg2Bi (PBE)

Data for a geometry-optimized Mg4Hg2Bi structure.

a = 7.249 Å, b = 7.249 Å, c = 6.696 Å
α = 90.00°, β = 90.00°, γ = 90.00°
Space group I4/mmm (No. 139)
Inequivalent atoms, fractional coordinates:
Mg (0.250, 0.250, 0.250) (multiplicity 8)
Hg (0.000, 0.500, 0.000) (multiplicity 4)
Bi (0.000, 0.000, 0.000) (multiplicity 2)

## Properties
ΔH_f (0 K)   -107 meV/atom

=====

Entry 7:
## Mg3Hg4Bi (PBE)

Data for a geometry-optimized Mg3Hg4Bi structure.

a = 4.762 Å, b = 4.762 Å, c = 8.302 Å
α = 90.00°, β = 90.00°, γ = 90.00°
Space group P4/mmm (No. 123)
Inequivalent atoms, fractional coordinates:
Mg (0.000, 0.000, 0.000) (multiplicity 1)
Mg (0.000, 0.000, 0.500) (multiplicity 1)
Mg (0.500, 0.500, 0.000) (multiplicity 1)
Hg (0.000, 0.500, 0.225) (multiplicity 4)
Bi (0.500, 0.500, 0.500) (multiplicity 1)

## Properties
ΔH_f (0 K)   -123 meV/atom
Energy above the most stable polymorph in this dataset   0 meV per atom

=====

Entry 8:
## MgHgBiN2 (PBE)

Data for a geometry-optimized MgHgBiN2 structure.

a = 4.160 Å, b = 4.160 Å, c = 5.820 Å
α = 90.00°, β = 90.00°, γ = 90.00°
Space group P4/mmm (No. 123)
Inequivalent atoms, fractional coordinates:
Mg (0.000, 0.000, 0.000) (multiplicity 1)
Hg (0.500, 0.500, 0.500) (multiplicity 1)
Bi (0.000, 0.000, 0.500) (multiplicity 1)
N (0.000, 0.500, 0.000) (multiplicity 2)

## Properties
VASP energy   -15.6 eV for the cell shown